(1)
# Zn2Fe3O8

A relaxed structure of Zn2Fe3O8 (PBE with a Hubbard U, Alexandria).

Values from the calculation:
Calculated volume ... 137.5 Å³/cell
Total DFT energy (no corrections) ... -5.562 eV/atom
Crystal system ... monoclinic
Calculated density ... 5.147 Mg/m³

Cell and atoms, written as POSCAR:
```
Zn2Fe3O8
1.0
4.9342 -2.8838 0.0000
4.9342 2.8838 0.0000
-1.0990 0.0000 4.8330
Zn Fe O
2 3 8
direct
0.2066 0.2066 0.1095 Zn
0.7934 0.7934 0.8905 Zn
0.2456 0.7544 0.5000 Fe
0.5000 0.5000 0.0000 Fe
0.7544 0.2456 0.5000 Fe
0.1068 0.1068 0.4085 O
0.1593 0.6099 0.1323 O
0.3901 0.8407 0.8677 O
0.3999 0.3999 0.6247 O
0.6001 0.6001 0.3753 O
0.6099 0.1593 0.1323 O
0.8407 0.3901 0.8677 O
0.8932 0.8932 0.5915 O
```


(2)
# ZnFe3O

A relaxed structure of ZnFe3O (PBE with a Hubbard U, Alexandria).

Values from the calculation:
Calculated volume ... 67.4 Å³/cell
Total DFT energy (no corrections) ... -4.284 eV/atom
Crystal system ... cubic
DOS(E_F) ... 4.991 states/eV/cell
Calculated density ... 6.129 Mg/m³

Cell and atoms, written as POSCAR:
```
ZnFe3O
1.0
4.0705 0.0000 0.0000
0.0000 4.0705 0.0000
0.0000 0.0000 4.0705
Zn Fe O
1 3 1
direct
0.0000 0.0000 0.0000 Zn
0.0000 0.5000 0.5000 Fe
0.5000 0.0000 0.5000 Fe
0.5000 0.5000 0.0000 Fe
0.5000 0.5000 0.5000 O
```


(3)
# ZnFe3O6

A relaxed structure of ZnFe3O6 (PBE with a Hubbard U, Alexandria).

Values from the calculation:
Calculated volume ... 212.9 Å³/cell
Total DFT energy (no corrections) ... -5.997 eV/atom
Crystal system ... monoclinic
Calculated density ... 5.130 Mg/m³

Cell and atoms, written as POSCAR:
```
ZnFe3O6
1.0
5.0333 0.0000 0.0000
0.0000 5.0569 0.0000
-4.9492 0.0000 8.3657
Zn Fe O
2 6 12
direct
0.0000 0.0000 0.0000 Zn
0.0000 0.5000 0.5000 Zn
0.2005 0.0030 0.7031 Fe
0.2005 0.4970 0.2031 Fe
0.5000 0.0000 0.5000 Fe
0.5000 0.5000 0.0000 Fe
0.7995 0.5030 0.7969 Fe
0.7995 0.9970 0.2969 Fe
0.1695 0.1814 0.4953 O
0.1695 0.3186 0.9953 O
0.1695 0.7352 0.8427 O
0.1695 0.7648 0.3427 O
0.4945 0.7194 0.1632 O
0.4945 0.7806 0.6632 O
0.5055 0.2194 0.3368 O
0.5055 0.2806 0.8368 O
0.8305 0.2352 0.6573 O
0.8305 0.2648 0.1573 O
0.8305 0.6814 0.0047 O
0.8305 0.8186 0.5047 O
```